First-principles (GGA-PBE) data for an optimized crystal structure of Ca4TlBi, as listed in Alexandria.

```
data_Ca4TlBi
_space_group_name_H-M_alt 'P 4/m m m'
_space_group_IT_number 123
_space_group_name_Hall '-P 4 2'
_cell_length_a 5.387
_cell_length_b 5.387
_cell_length_c 7.642
_cell_angle_alpha 90.00
_cell_angle_beta 90.00
_cell_angle_gamma 90.00
loop_
_atom_site_label
_atom_site_type_symbol
_atom_site_fract_x
_atom_site_fract_y
_atom_site_fract_z
_atom_site_occupancy
Ca1 Ca 0.000 0.500 0.237 1
Tl1 Tl 0.000 0.000 0.000 1
Bi1 Bi 0.500 0.500 0.500 1
```

Values from the calculation:
Energy of formation, eV per atom: -0.51
Energy, eV for the cell shown: -17.34

=====

First-principles (GGA-PBE) data for an optimized crystal structure of Tm3SnH, as listed in Alexandria.

```
data_Tm3SnH
_space_group_name_H-M_alt 'P m -3 m'
_space_group_IT_number 221
_space_group_name_Hall '-P 4 2 3'
_cell_length_a 4.738
_cell_length_b 4.738
_cell_length_c 4.738
_cell_angle_alpha 90.00
_cell_angle_beta 90.00
_cell_angle_gamma 90.00
loop_
_atom_site_label
_atom_site_type_symbol
_atom_site_fract_x
_atom_site_fract_y
_atom_site_fract_z
_atom_site_occupancy
Tm1 Tm 0.000 0.000 0.500 1
Sn1 Sn 0.500 0.500 0.500 1
H1 H 0.000 0.000 0.000 1
```

Values from the calculation:
Energy, eV for the cell shown: -22.99
Distance to the lowest polymorph of the same formula, eV/atom: 0.000

=====

First-principles (GGA-PBE) data for an optimized crystal structure of CsAg2PtBr8, as listed in Alexandria.

```
data_CsAg2PtBr8
_space_group_name_H-M_alt 'P -1'
_space_group_IT_number 2
_space_group_name_Hall '-P 1'
_cell_length_a 6.440
_cell_length_b 6.848
_cell_length_c 9.727
_cell_angle_alpha 94.59
_cell_angle_beta 100.23
_cell_angle_gamma 101.21
loop_
_atom_site_label
_atom_site_type_symbol
_atom_site_fract_x
_atom_site_fract_y
_atom_site_fract_z
_atom_site_occupancy
Cs1 Cs 0.000 0.000 0.000 1
Ag1 Ag 0.191 0.428 0.697 1
Pt1 Pt 0.500 0.000 0.500 1
Br1 Br 0.233 0.223 0.469 1
Br2 Br 0.249 0.742 0.316 1
Br3 Br 0.252 0.510 0.969 1
Br4 Br 0.350 0.844 0.698 1
```

Values from the calculation:
Energy, eV for the cell shown: -31.81
Uncorrected formation energy, eV per formula unit: -5.83

=====

First-principles (GGA-PBE) data for an optimized crystal structure of NaNp2SiO8, as listed in Alexandria.

```
data_NaNp2SiO8
_space_group_name_H-M_alt 'C m m m'
_space_group_IT_number 65
_space_group_name_Hall '-C 2 2'
_cell_length_a 6.522
_cell_length_b 6.767
_cell_length_c 6.744
_cell_angle_alpha 90.00
_cell_angle_beta 90.00
_cell_angle_gamma 90.00
loop_
_atom_site_label
_atom_site_type_symbol
_atom_site_fract_x
_atom_site_fract_y
_atom_site_fract_z
_atom_site_occupancy
Na1 Na 0.000 0.000 0.000 1
Np1 Np 0.000 0.500 0.258 1
Si1 Si 0.000 0.000 0.500 1
O1 O 0.000 0.276 0.500 1
O2 O 0.000 0.321 0.000 1
O3 O 0.190 0.000 0.304 1
```

Values from the calculation:
Energy, eV for the cell shown: -205.52
Uncorrected formation energy, eV per formula unit: -30.47

=====

Question: Among the records above, which one has the lowest energy?
Answer: NaNp2SiO8

=====

Question: Look up the energy of the first one.
Answer: -17.34 eV for the cell shown

=====

Question: Among the records above, which one has the lowest energy?
Answer: NaNp2SiO8